## HOsI2O (PBE)

Data for a relaxed structure of HOsI2O.

Geometry as POSCAR:
```
HOsI2O
1.0
-2.0606 4.7578 0.0856
-3.4037 -1.4084 -3.6498
-1.8857 -0.8542 2.0881
H Os I O
1 1 2 1
direct
0.0000 0.0000 0.0000
0.5000 0.5000 0.5000
0.5000 0.0000 0.0000
0.0000 0.5000 0.0000
0.0000 0.0000 0.5000
```

Calculated values
For the calculated density, the calculation gives 9.7 g/cm³. For the energy above the most stable polymorph in this dataset, the calculation gives 3.42 eV per formula unit. The density of states at the Fermi level comes out at 5.19 states/eV/cell.

## PaBe17Al (PBE)

Data for a relaxed structure of PaBe17Al.

Geometry as POSCAR:
```
PaBe17Al
1.0
5.6979 -0.0126 0.6582
0.5851 5.6678 0.6582
-0.0140 -0.0126 5.7357
Be Pa Al
17 1 1
direct
0.8533 0.3390 0.3390
0.5049 0.9935 0.9935
0.6569 0.1545 0.6569
0.3390 0.8533 0.3390
0.9935 0.9935 0.5049
0.2839 0.0044 0.7126
0.6569 0.6569 0.1545
0.9935 0.5049 0.9935
0.0044 0.7126 0.2839
0.3390 0.3390 0.8533
0.7126 0.0044 0.2839
0.9036 0.9036 0.9036
0.0044 0.2839 0.7126
0.1545 0.6569 0.6569
0.7126 0.2839 0.0044
0.0997 0.0997 0.0997
0.2839 0.7126 0.0044
0.6540 0.6540 0.6540
0.3491 0.3491 0.3491
```

Calculated values
For the calculated density, the calculation gives 3.7 g/cm³. The value obtained for the formation enthalpy at 0 K is 3.0 kJ per mole of atoms. The density of states at the Fermi level comes out at 7.43 states/eV/cell.

## Hf2BeRu (PBE)

Data for a relaxed structure of Hf2BeRu.

Geometry as POSCAR:
```
Hf2BeRu
1.0
3.2057 0.0000 0.0000
0.0000 3.2057 0.0000
0.0000 0.0000 6.3549
Hf Ru Be
2 1 1
direct
0.0000 0.0000 0.2568
0.0000 0.0000 0.7432
0.5000 0.5000 0.0000
0.5000 0.5000 0.5000
```

Calculated values
For the calculated density, the calculation gives 11.9 g/cm³. The value obtained for the formation enthalpy at 0 K is -41.0 kJ per mole of atoms. The density of states at the Fermi level comes out at 1.38 states/eV/cell.

## RbLiAu (PBE)

Data for a relaxed structure of RbLiAu.

Geometry as POSCAR:
```
RbLiAu
1.0
4.5399 -0.2178 0.0460
0.2174 4.5413 0.0468
-0.1309 -0.1192 9.9444
Rb Li Au
2 2 2
direct
0.3162 0.3691 0.2320
0.8117 0.8648 0.6070
0.3137 0.8658 0.9197
0.8130 0.3664 0.9198
0.8147 0.8676 0.0591
0.3123 0.3652 0.7801
```

Calculated values
For the calculated density, the calculation gives 4.7 g/cm³. The value obtained for the formation enthalpy at 0 K is -27.7 kJ per mole of atoms. For the energy above the most stable polymorph in this dataset, the calculation gives 0.00 eV per formula unit. The density of states at the Fermi level comes out at 3.45 states/eV/cell.

## SrRe2Tc (PBE)

Data for a relaxed structure of SrRe2Tc.

Geometry as POSCAR:
```
SrRe2Tc
1.0
-0.5236 4.6084 1.6850
-3.4801 0.1876 -1.5946
-1.5532 -1.3575 3.2301
Re Sr Tc
2 1 1
direct
0.0000 0.5000 0.5000
0.0000 0.0000 0.0000
0.5000 0.5000 0.0000
0.5000 0.0000 0.5000
```

Calculated values
For the calculated density, the calculation gives 12.8 g/cm³. The value obtained for the formation enthalpy at 0 K is 134.0 kJ per mole of atoms. For the energy above the most stable polymorph in this dataset, the calculation gives 2.96 eV per formula unit. The density of states at the Fermi level comes out at 6.23 states/eV/cell.

## KSc2Ni (PBE)

Data for a relaxed structure of KSc2Ni.

Geometry as POSCAR:
```
KSc2Ni
1.0
3.6871 0.0000 0.0000
0.0000 5.1354 0.0000
0.0000 0.0000 4.8939
K Sc Ni
1 2 1
direct
0.5000 0.0000 0.5000
0.5000 0.5000 0.0000
0.0000 0.0000 0.0000
0.0000 0.5000 0.5000
```

Calculated values
For the calculated density, the calculation gives 3.4 g/cm³. The value obtained for the formation enthalpy at 0 K is 66.0 kJ per mole of atoms. For the energy above the most stable polymorph in this dataset, the calculation gives 2.52 eV per formula unit. The density of states at the Fermi level comes out at 5.03 states/eV/cell.

## Ca2Cu2W (PBE)

Data for a relaxed structure of Ca2Cu2W.

Geometry as POSCAR:
```
Ca2Cu2W
1.0
8.1534 0.0000 0.0000
0.0000 8.1534 0.0000
0.0000 0.0000 2.9559
Cu W Ca
4 2 4
direct
0.1545 0.6545 0.5000
0.3455 0.1545 0.5000
0.6545 0.8455 0.5000
0.8455 0.3455 0.5000
0.5000 0.5000 0.0000
0.0000 0.0000 0.0000
0.8529 0.6471 0.0000
0.6471 0.1471 0.0000
0.1471 0.3529 0.0000
0.3529 0.8529 0.0000
```

Calculated values
For the calculated density, the calculation gives 6.6 g/cm³. The value obtained for the formation enthalpy at 0 K is 80.1 kJ per mole of atoms. For the energy above the most stable polymorph in this dataset, the calculation gives 1.79 eV per formula unit. The density of states at the Fermi level comes out at 6.07 states/eV/cell.

## TaGeTePt (PBE)

Data for a relaxed structure of TaGeTePt.

Geometry as POSCAR:
```
TaGeTePt
1.0
-5.4757 -2.1968 -2.4207
-1.0376 -1.5878 3.7880
-0.6458 6.7917 2.6700
Ge Te Ta Pt
2 2 2 2
direct
0.1792 0.5000 0.1306
0.1792 0.0000 0.6306
0.6643 0.0000 0.4587
0.6643 0.5000 0.9587
0.9466 0.5000 0.3866
0.9466 0.0000 0.8866
0.1779 0.0000 0.2965
0.1779 0.5000 0.7965
```

Calculated values
For the calculated density, the calculation gives 10.5 g/cm³. For the energy above the most stable polymorph in this dataset, the calculation gives 0.34 eV per formula unit. For the formation energy (no corrections), the calculation gives -14 kJ/mol of atoms. The density of states at the Fermi level comes out at 6.86 states/eV/cell.

| no. | raw total energy (eV per atom) |
| --- | --- |
| 1 | -3.4446 |
| 2 | -3.9999 |
| 3 | -8.6517 |
| 4 | -2.3404 |
| 5 | -7.8472 |
| 6 | -4.2016 |
| 7 | -4.2000 |
| 8 | -6.5615 |